DFT (PBE-GGA) results for a relaxed structure of AgMo2Br.

The structure in POSCAR format:
```
AgMo2Br
1.0
-0.006 3.086 -0.778
-2.700 -0.417 -1.633
-4.110 1.601 6.386
Br Mo Ag
1 2 1
direct
0.500 0.500 0.788
0.000 0.000 0.041
0.500 0.500 0.209
0.000 0.000 0.463
```

## Properties
Its space-group type is P4mm. The formation energy without anion corrections is 1.8 eV/f.u. For the electronic total energy, the calculation gives -6.09 eV/atom. As for the crystal system: tetragonal. The value obtained for the density of states at the Fermi level is 2.91 states/eV per cell. As for the energy above the most stable polymorph in this dataset: 13.7 kJ per mole of atoms. The calculation puts the spin magnetization at 0.00 μB per formula unit.